A) {"formula": "NaLaHo", "functional": "GGA-PBE", "state": "relaxed", "lattice": [[-0.704, 0.761, 5.604], [0.127, -4.479, 3.522], [7.224, 0.830, 0.795]], "species": ["Na", "Na", "Ho", "Ho", "La", "La"], "fractional_positions": [[0.962, 0.312, 0.791], [0.629, 0.979, 0.790], [0.629, 0.979, 0.291], [0.962, 0.312, 0.291], [0.295, 0.645, 0.523], [0.295, 0.645, 0.058]], "crystal_system": "trigonal", "space_group": "P-3m1, No. 164"}

B) {"formula": "NaLaHo", "functional": "GGA-PBE", "state": "relaxed", "lattice": [[3.597, 0.000, 0.000], [-1.798, 3.115, 0.000], [0.000, 0.000, 9.347]], "species": ["Ho", "La", "Na"], "fractional_positions": [[0.667, 0.333, 0.346], [0.333, 0.667, 0.648], [0.000, 0.000, 0.006]], "crystal_system": "trigonal", "space_group": "P3m1, No. 156"}

C) {"formula": "NaLaHo", "functional": "GGA-PBE", "state": "relaxed", "lattice": [[3.519, 0.000, 0.000], [1.760, 3.048, 0.000], [1.760, 1.016, 19.274]], "species": ["Na", "Na", "Ho", "Ho", "La", "La"], "fractional_positions": [[0.138, 0.138, 0.585], [0.862, 0.862, 0.415], [0.690, 0.690, 0.930], [0.310, 0.310, 0.070], [0.749, 0.749, 0.754], [0.251, 0.251, 0.246]], "crystal_system": "trigonal", "space_group": "R-3m, No. 166"}

D) {"formula": "NaLaHo", "functional": "GGA-PBE", "state": "relaxed", "lattice": [[-3.054, 1.276, -1.353], [0.217, -2.340, -2.696], [-2.844, -4.970, 6.456]], "species": ["La", "Na", "Ho"], "fractional_positions": [[0.676, 0.676, 0.352], [0.996, 0.996, 0.993], [0.328, 0.328, 0.655]], "crystal_system": "tetragonal", "space_group": "I4mm, No. 107"}

Which one sits at the top of the stability order? B) does.

A) {"formula": "NaLaHo2", "functional": "GGA-PBE", "state": "relaxed", "lattice": [[-1.409, 0.681, -3.234], [-3.160, -1.307, 1.102], [-2.837, 9.607, 3.257]], "species": ["Na", "Ho", "Ho", "La"], "fractional_positions": [[0.500, 0.500, 0.500], [0.000, 0.000, 0.235], [0.000, 0.000, 0.765], [0.500, 0.500, 0.000]], "crystal_system": "tetragonal", "space_group": "P4/mmm, No. 123"}

B) {"formula": "NaLaHo2", "functional": "GGA-PBE", "state": "relaxed", "lattice": [[-0.928, 2.851, -1.873], [0.376, 0.005, -3.515], [-11.993, -3.727, -3.065]], "species": ["Na", "Ho", "Ho", "La"], "fractional_positions": [[0.000, 0.000, 0.000], [0.091, 0.091, 0.726], [0.909, 0.909, 0.274], [0.500, 0.500, 0.500]], "crystal_system": "trigonal", "space_group": "R-3m, No. 166"}

Which one sits at the top of the stability order? A) does.

A) {"formula": "LaNd2Ho7", "functional": "GGA-PBE", "state": "relaxed", "lattice": [[-3.321, 2.963, -4.305], [4.146, -6.609, -1.800], [-5.313, -4.437, 3.996]], "species": ["Ho", "Ho", "Ho", "Ho", "Ho", "Ho", "Ho", "Nd", "Nd", "La"], "fractional_positions": [[0.500, 0.500, 0.000], [0.500, 0.101, 0.800], [0.500, 0.899, 0.200], [0.999, 0.401, 0.200], [0.001, 0.599, 0.800], [0.000, 0.201, 0.600], [0.000, 0.799, 0.400], [0.501, 0.300, 0.400], [0.499, 0.700, 0.600], [0.000, 0.000, 0.000]], "crystal_system": "triclinic", "space_group": "P-1, No. 2"}

B) {"formula": "LaNd2Ho7", "functional": "GGA-PBE", "state": "relaxed", "lattice": [[-2.504, -4.594, -1.561], [7.418, -5.027, 2.894], [-7.460, 2.273, 5.277]], "species": ["Ho", "Ho", "Ho", "Ho", "Ho", "Ho", "Ho", "La", "Nd", "Nd"], "fractional_positions": [[0.500, 0.710, 0.935], [0.500, 0.935, 0.710], [0.500, 0.500, 0.500], [0.500, 0.065, 0.290], [0.500, 0.290, 0.065], [0.000, 0.210, 0.790], [0.000, 0.790, 0.210], [0.000, 0.000, 0.000], [0.500, 0.703, 0.297], [0.500, 0.297, 0.703]], "crystal_system": "orthorhombic", "space_group": "Cmmm, No. 65"}

Which one sits at the top of the stability order? A) does.

A) {"formula": "La12NdHo7", "functional": "GGA-PBE", "state": "relaxed", "lattice": [[-4.021, 0.140, -4.946], [9.596, 4.001, -4.949], [-0.194, -11.220, 2.580]], "species": ["Ho", "Ho", "Ho", "Ho", "Ho", "Ho", "Ho", "La", "La", "La", "La", "La", "La", "La", "La", "La", "La", "La", "La", "Nd"], "fractional_positions": [[0.115, 0.752, 0.000], [0.364, 0.249, 0.248], [0.500, 0.000, 0.000], [0.885, 0.000, 0.249], [0.885, 0.248, 0.000], [0.115, 0.000, 0.751], [0.636, 0.751, 0.752], [0.431, 0.000, 0.355], [0.500, 0.407, 0.592], [0.092, 0.592, 0.185], [0.569, 0.000, 0.645], [0.908, 0.408, 0.815], [0.093, 0.185, 0.593], [0.500, 0.593, 0.408], [0.076, 0.645, 0.645], [0.431, 0.355, 0.000], [0.569, 0.645, 0.000], [0.907, 0.815, 0.407], [0.924, 0.355, 0.355], [0.000, 0.000, 0.000]], "crystal_system": "trigonal", "space_group": "R-3m, No. 166"}

B) {"formula": "La12NdHo7", "functional": "GGA-PBE", "state": "relaxed", "lattice": [[8.945, 0.521, 0.781], [-1.987, 8.737, 0.781], [-1.987, -2.644, 8.364]], "species": ["La", "La", "La", "La", "La", "La", "La", "La", "La", "La", "La", "La", "Nd", "Ho", "Ho", "Ho", "Ho", "Ho", "Ho", "Ho"], "fractional_positions": [[0.645, 0.913, 0.645], [0.500, 0.761, 0.239], [0.645, 0.645, 0.913], [0.239, 0.761, 0.500], [0.355, 0.355, 0.087], [0.761, 0.239, 0.500], [0.239, 0.500, 0.761], [0.913, 0.645, 0.645], [0.761, 0.500, 0.239], [0.355, 0.087, 0.355], [0.500, 0.239, 0.761], [0.087, 0.355, 0.355], [0.000, 0.000, 0.000], [0.905, 0.336, 0.905], [0.500, 0.500, 0.500], [0.095, 0.664, 0.095], [0.336, 0.905, 0.905], [0.664, 0.095, 0.095], [0.095, 0.095, 0.664], [0.905, 0.905, 0.336]], "crystal_system": "trigonal", "space_group": "R-3m, No. 166"}

Which one sits at the top of the stability order? B) does.

A) {"formula": "La3Nd2Ho2", "functional": "GGA-PBE", "state": "relaxed", "lattice": [[-1.388, 2.540, -2.261], [-10.318, -3.906, 4.945], [-2.526, 4.530, 3.658]], "species": ["La", "La", "La", "Ho", "Ho", "Nd", "Nd"], "fractional_positions": [[0.000, 0.000, 0.000], [0.426, 0.571, 0.716], [0.574, 0.429, 0.284], [0.286, 0.715, 0.142], [0.714, 0.285, 0.858], [0.858, 0.143, 0.425], [0.142, 0.857, 0.575]], "crystal_system": "triclinic", "space_group": "P-1, No. 2"}

B) {"formula": "La3Nd2Ho2", "functional": "GGA-PBE", "state": "relaxed", "lattice": [[-0.644, -0.074, -3.504], [-7.363, -4.422, 1.446], [0.012, 9.003, 1.619]], "species": ["La", "La", "La", "Ho", "Ho", "Nd", "Nd"], "fractional_positions": [[0.787, 0.207, 0.573], [0.213, 0.793, 0.427], [0.000, 0.500, 0.000], [0.146, 0.331, 0.292], [0.854, 0.669, 0.708], [0.435, 0.088, 0.871], [0.565, 0.912, 0.129]], "crystal_system": "monoclinic", "space_group": "C2/m, No. 12"}

Which one sits at the top of the stability order? A) does.

A) {"formula": "La3Nd2Ho4", "functional": "GGA-PBE", "state": "relaxed", "lattice": [[5.161, 0.000, 0.000], [-2.581, 5.697, 0.426], [0.000, 2.554, 10.617]], "species": ["Nd", "Nd", "Ho", "Ho", "Ho", "Ho", "La", "La", "La"], "fractional_positions": [[0.666, 0.332, 0.781], [0.334, 0.668, 0.219], [0.334, 0.669, 0.889], [0.000, 0.001, 0.333], [0.000, 0.999, 0.667], [0.666, 0.331, 0.111], [0.000, 0.000, 0.000], [0.333, 0.666, 0.558], [0.667, 0.334, 0.442]], "crystal_system": "monoclinic", "space_group": "C2/m, No. 12"}

B) {"formula": "La3Nd2Ho4", "functional": "GGA-PBE", "state": "relaxed", "lattice": [[-2.351, 3.950, 4.186], [-4.261, -4.571, 9.492], [6.002, 1.493, 9.534]], "species": ["La", "La", "La", "La", "La", "La", "Nd", "Nd", "Nd", "Nd", "Ho", "Ho", "Ho", "Ho", "Ho", "Ho", "Ho", "Ho"], "fractional_positions": [[0.731, 0.698, 0.979], [0.769, 0.021, 0.302], [0.269, 0.302, 0.021], [0.250, 0.624, 0.376], [0.750, 0.376, 0.624], [0.231, 0.979, 0.698], [0.936, 0.518, 0.253], [0.064, 0.482, 0.747], [0.564, 0.747, 0.482], [0.436, 0.253, 0.518], [0.598, 0.389, 0.153], [0.902, 0.847, 0.611], [0.573, 0.060, 0.827], [0.098, 0.153, 0.389], [0.402, 0.611, 0.847], [0.927, 0.173, 0.940], [0.427, 0.940, 0.173], [0.073, 0.827, 0.060]], "crystal_system": "monoclinic", "space_group": "C2/c, No. 15"}

Which one sits at the top of the stability order? A) does.

A) {"formula": "La4Nd2Ho", "functional": "GGA-PBE", "state": "relaxed", "lattice": [[6.979, 0.000, 0.000], [3.490, 8.448, -1.172], [3.490, 1.642, 8.369]], "species": ["Nd", "Nd", "Nd", "Nd", "La", "La", "La", "La", "La", "La", "La", "La", "Ho", "Ho"], "fractional_positions": [[0.500, 0.000, 0.000], [0.717, 0.033, 0.533], [0.500, 0.500, 0.500], [0.283, 0.967, 0.467], [0.148, 0.357, 0.348], [0.213, 0.756, 0.256], [0.852, 0.152, 0.143], [0.787, 0.244, 0.744], [0.148, 0.848, 0.857], [0.225, 0.244, 0.744], [0.775, 0.756, 0.256], [0.852, 0.643, 0.652], [0.000, 0.500, 0.000], [0.500, 0.500, 0.000]], "crystal_system": "orthorhombic", "space_group": "Imma, No. 74"}

B) {"formula": "La4Nd2Ho", "functional": "GGA-PBE", "state": "relaxed", "lattice": [[-4.692, 6.463, -6.710], [-1.791, -6.112, -0.567], [-5.377, 2.151, 5.883]], "species": ["La", "La", "La", "La", "La", "La", "La", "La", "Nd", "Nd", "Nd", "Nd", "Ho", "Ho"], "fractional_positions": [[0.269, 0.982, 0.606], [0.054, 0.128, 0.323], [0.766, 0.983, 0.609], [0.341, 0.268, 0.040], [0.484, 0.838, 0.891], [0.196, 0.693, 0.178], [0.909, 0.553, 0.461], [0.981, 0.839, 0.893], [0.554, 0.124, 0.322], [0.125, 0.411, 0.750], [0.696, 0.697, 0.178], [0.625, 0.411, 0.750], [0.837, 0.267, 0.037], [0.413, 0.554, 0.463]], "crystal_system": "triclinic", "space_group": "P-1, No. 2"}

Which one sits at the top of the stability order? B) does.

A) {"formula": "LaNd2Ho", "functional": "GGA-PBE", "state": "relaxed", "lattice": [[-1.862, -0.075, 3.161], [2.002, -5.942, -1.091], [5.035, 2.266, 3.021]], "species": ["Nd", "Nd", "La", "Ho"], "fractional_positions": [[0.248, 0.496, 0.248], [0.752, 0.504, 0.752], [0.000, 0.000, 0.500], [0.500, 0.000, 0.000]], "crystal_system": "monoclinic", "space_group": "C2/m, No. 12"}

B) {"formula": "LaNd2Ho", "functional": "GGA-PBE", "state": "relaxed", "lattice": [[-5.320, 2.477, -0.491], [-3.140, -6.265, 2.407], [0.425, 2.113, 6.054]], "species": ["Nd", "Nd", "Nd", "Nd", "La", "La", "Ho", "Ho"], "fractional_positions": [[0.750, 0.001, 0.665], [0.250, 0.999, 0.335], [0.750, 0.499, 0.665], [0.250, 0.501, 0.335], [0.750, 0.250, 0.166], [0.250, 0.750, 0.834], [0.250, 0.250, 0.833], [0.750, 0.750, 0.167]], "crystal_system": "orthorhombic", "space_group": "Pmmn, No. 59"}

Which one sits at the top of the stability order? A) does.

A) {"formula": "La2Nd6Ho3", "functional": "GGA-PBE", "state": "relaxed", "lattice": [[5.743, 0.000, 0.000], [0.000, 5.743, 0.000], [-2.872, -2.872, 12.326]], "species": ["Nd", "Nd", "Nd", "Nd", "Nd", "Nd", "Ho", "Ho", "Ho", "La", "La"], "fractional_positions": [[0.298, 0.298, 0.596], [0.702, 0.702, 0.404], [0.903, 0.403, 0.807], [0.097, 0.597, 0.193], [0.403, 0.903, 0.807], [0.597, 0.097, 0.193], [0.160, 0.160, 0.321], [0.840, 0.840, 0.679], [0.000, 0.000, 0.000], [0.559, 0.559, 0.118], [0.441, 0.441, 0.882]], "crystal_system": "tetragonal", "space_group": "I4/mmm, No. 139"}

B) {"formula": "La2Nd6Ho3", "functional": "GGA-PBE", "state": "relaxed", "lattice": [[5.985, 0.000, 1.792], [2.992, 5.417, 0.896], [-1.349, 0.000, 11.871]], "species": ["Nd", "Nd", "Nd", "Nd", "Nd", "Nd", "Ho", "Ho", "Ho", "La", "La"], "fractional_positions": [[0.083, 0.333, 0.755], [0.748, 0.000, 0.755], [0.917, 0.667, 0.245], [0.585, 0.333, 0.245], [0.252, 0.000, 0.245], [0.415, 0.667, 0.755], [0.665, 0.669, 0.000], [0.000, 0.000, 0.000], [0.335, 0.331, 0.000], [0.167, 0.666, 0.500], [0.833, 0.334, 0.500]], "crystal_system": "monoclinic", "space_group": "C2/m, No. 12"}

Which one sits at the top of the stability order? B) does.

A) {"formula": "La6NdHo12", "functional": "GGA-PBE", "state": "relaxed", "lattice": [[-1.744, -2.683, 8.203], [7.848, -3.858, -1.026], [2.754, 8.162, 1.823]], "species": ["Ho", "Ho", "Ho", "Ho", "Ho", "Ho", "Ho", "Ho", "Ho", "Ho", "Ho", "Ho", "La", "La", "La", "La", "La", "La", "Nd"], "fractional_positions": [[0.500, 0.246, 0.754], [0.754, 0.500, 0.246], [0.500, 0.754, 0.246], [0.645, 0.920, 0.645], [0.355, 0.355, 0.080], [0.080, 0.355, 0.355], [0.246, 0.754, 0.500], [0.920, 0.645, 0.645], [0.355, 0.080, 0.355], [0.645, 0.645, 0.920], [0.754, 0.246, 0.500], [0.246, 0.500, 0.754], [0.903, 0.903, 0.347], [0.903, 0.347, 0.903], [0.347, 0.903, 0.903], [0.653, 0.097, 0.097], [0.097, 0.097, 0.653], [0.097, 0.653, 0.097], [0.000, 0.000, 0.000]], "crystal_system": "trigonal", "space_group": "R-3m, No. 166"}

B) {"formula": "La6NdHo12", "functional": "GGA-PBE", "state": "relaxed", "lattice": [[-1.407, -6.287, -5.742], [-1.229, -5.471, 6.560], [-8.362, 2.135, -0.020]], "species": ["Ho", "Ho", "Ho", "Ho", "Ho", "Ho", "Ho", "Ho", "Ho", "Ho", "Ho", "Ho", "La", "La", "La", "La", "La", "La", "Nd"], "fractional_positions": [[0.067, 0.143, 0.379], [0.621, 0.933, 0.857], [0.933, 0.857, 0.621], [0.790, 0.529, 0.468], [0.210, 0.471, 0.532], [0.529, 0.468, 0.790], [0.857, 0.621, 0.933], [0.143, 0.379, 0.067], [0.532, 0.210, 0.471], [0.468, 0.790, 0.529], [0.471, 0.532, 0.210], [0.379, 0.067, 0.143], [0.721, 0.861, 0.255], [0.255, 0.721, 0.861], [0.279, 0.139, 0.745], [0.745, 0.279, 0.139], [0.861, 0.255, 0.721], [0.139, 0.745, 0.279], [0.000, 0.000, 0.000]], "crystal_system": "trigonal", "space_group": "R-3, No. 148"}

Which one sits at the top of the stability order? B) does.